Material: GaCoAgW
Method: DFT, PBE
State: relaxed

Lattice parameters (Å, degrees): 6.1729 6.1729 6.1729 90.00 90.00 90.00
Space group F-43m (No. 216)
Inequivalent atoms, fractional coordinates:
Ga: 0.0000 0.0000 0.0000 (multiplicity 4)
Co: 0.2500 0.2500 0.2500 (multiplicity 4)
Ag: 0.2500 0.2500 0.7500 (multiplicity 4)
W: 0.0000 0.0000 0.5000 (multiplicity 4)

Computed properties:
Relative energy among the computed polymorphs in eV/atom: 0.000
Uncorrected energy in eV per atom: -5.980
Theoretical density in kg/m3: 11871
Magnetization in μB/cell: 0.03